# BaCoI2O8

A geometry-optimized BaCoI2O8 structure (PBE+U, Alexandria via LeMat-Bulk).

Output
Final energy, eV for the cell shown: -177.9

```
data_BaCoI2O8
_chemical_formula_sum 'Ba3 Co3 I6 O24'
_cell_length_a 5.3216
_cell_length_b 5.3216
_cell_length_c 21.1308
_cell_angle_alpha 90.00
_cell_angle_beta 90.00
_cell_angle_gamma 120.00
_space_group_name_H-M_alt 'R -3'
_space_group_IT_number 148
_space_group_name_Hall '-R 3'
loop_
_atom_site_label
_atom_site_type_symbol
_atom_site_fract_x
_atom_site_fract_y
_atom_site_fract_z
_atom_site_occupancy
Ba1 Ba 0.0000 0.0000 0.0000 1
Co1 Co 0.0000 0.0000 0.5000 1
I1 I 0.0000 0.0000 0.2154 1
O1 O 0.0000 0.0000 0.3017 1
O2 O 0.0267 0.3910 0.2191 1
```